Below is an optimized crystal structure of CoSbCl2, with properties calculated at the PBE-GGA level.

The volume is 84 Å³/f.u. The value obtained for the total DFT energy (no corrections) is -25.8 eV per cell. For the uncorrected formation energy, the calculation gives 0.508 eV/atom. For the offset from the most stable computed form, the calculation gives 3.06 eV/f.u.

The space group is Cmmm (No. 65) and the conventional cell measures 6.2132, 8.5176 and 3.1574 Å, with angles of 90.00, 90.00 and 90.00 degrees. The inequivalent atoms are Co at (0.0000, 0.0000, 0.0000), Sb at (0.0000, 0.5000, 0.0000) and Cl at (0.2500, 0.2500, 0.5000).

Below is an optimized crystal structure of FeBiB2Pb, with properties calculated at the PBE-GGA level.

The volume is 92 Å³/f.u. The value obtained for the total DFT energy (no corrections) is -23.8 eV per cell. As for the formation energy: 1.1272 eV per atom.

The space group is P4/mmm (No. 123) and the conventional cell measures 4.1519, 4.1519 and 5.3103 Å, with angles of 90.00, 90.00 and 90.00 degrees. The inequivalent atoms are Fe at (0.0000, 0.0000, 0.0000), Bi at (0.5000, 0.5000, 0.5000), B at (0.0000, 0.5000, 0.0000) and Pb at (0.0000, 0.0000, 0.5000).

Below is an optimized crystal structure of LiEuCuHg, with properties calculated at the PBE-GGA level.

The volume is 83 Å³/f.u. The value obtained for the total DFT energy (no corrections) is -68.8 eV per cell. As for the formation energy: -0.1513 eV per atom.

The space group is F-43m (No. 216) and the conventional cell measures 6.9361, 6.9361 and 6.9361 Å, with angles of 90.00, 90.00 and 90.00 degrees. The inequivalent atoms are Li at (0.0000, 0.0000, 0.0000), Eu at (0.2500, 0.2500, 0.2500), Cu at (0.0000, 0.0000, 0.5000) and Hg at (0.2500, 0.2500, 0.7500).

Below is an optimized crystal structure of AlNi2W, with properties calculated at the PBE-GGA level.

The volume is 52 Å³/f.u. The value obtained for the total DFT energy (no corrections) is -113.0 eV per cell. As for the formation energy: 0.0018 eV per atom.

The space group is F-43m (No. 216) and the conventional cell measures 5.9179, 5.9179 and 5.9179 Å, with angles of 90.00, 90.00 and 90.00 degrees. The inequivalent atoms are Al at (0.0000, 0.0000, 0.0000), Ni at (0.0000, 0.0000, 0.5000), Ni at (0.2500, 0.2500, 0.7500) and W at (0.2500, 0.2500, 0.2500).